Entry from Alexandria: a geometry-optimized CdSb2Au structure (GGA-PBEsol).

As for the density: 9983 kg/m3. As for the magnetic moment: 0.000 μB/atom. As for the total DFT energy (no corrections): -3.42 eV/atom.

The structure belongs to space group Pmmm (No. 47); the cell edges are 4.0800, 4.2419 and 5.3139 Å and the angles 90.00°, 90.00° and 90.00°. Symmetry generates all atoms from Cd at (0.0000, 0.0000, 0.0000), Sb at (0.0000, 0.5000, 0.5000), Sb at (0.5000, 0.5000, 0.0000) and Au at (0.5000, 0.0000, 0.5000).

Entry from Alexandria: a geometry-optimized CdSb2Au structure (GGA-PBEsol).

As for the density: 9228 kg/m3. As for the magnetic moment: 0.000 μB/atom. As for the total DFT energy (no corrections): -3.59 eV/atom.

The structure belongs to space group Cmmm (No. 65); the cell edges are 5.9051, 8.1917 and 4.1134 Å and the angles 90.00°, 90.00° and 90.00°. Symmetry generates all atoms from Cd at (0.0000, 0.0000, 0.0000), Sb at (0.0000, 0.2814, 0.5000) and Au at (0.0000, 0.5000, 0.0000).